A plane-wave DFT calculation with PBEsol was carried out for crystalline TlCuRu at its relaxed geometry.

As for the formation energy: 1007 meV/atom. For the volume, the calculation gives 18.54 Å³ per atom. For the energy above the lowest structure with this stoichiometry, the calculation gives 0.4560 eV/atom.

The structure belongs to space group F-43m (No. 216); the cell edges are 6.060, 6.060 and 6.060 Å and the angles 90.00°, 90.00° and 90.00°. The distinct sites, in fractional coordinates, are Tl at (0.000, 0.000, 0.000), Cu at (0.250, 0.250, 0.250) and Ru at (0.250, 0.250, 0.750).

A plane-wave DFT calculation with PBEsol was carried out for crystalline Rb4FeO4 at its relaxed geometry.

For the uncorrected formation energy, the calculation gives -1361.7 meV per atom. For the volume, the calculation gives 20.46 Å³ per atom.

The structure belongs to space group P-1 (No. 2); the cell edges are 6.422, 6.559 and 9.613 Å and the angles 72.11°, 80.56° and 73.61°. The distinct sites, in fractional coordinates, are Rb at (0.203, 0.178, 0.488), Rb at (0.255, 0.406, 0.099), Rb at (0.258, 0.045, 0.871), Rb at (0.285, 0.574, 0.650), Fe at (0.248, 0.814, 0.260), O at (0.047, 0.073, 0.248), O at (0.074, 0.629, 0.300), O at (0.434, 0.833, 0.374) and O at (0.442, 0.713, 0.124).

A plane-wave DFT calculation with PBEsol was carried out for crystalline YSiTc2 at its relaxed geometry.

For the uncorrected formation energy, the calculation gives 91.7 meV per atom. For the volume, the calculation gives 16.97 Å³ per atom.

The structure belongs to space group R-3m (No. 166, hexagonal axes); the cell edges are 3.2123, 3.2123 and 22.7863 Å and the angles 90.00°, 90.00° and 120.00°. The distinct sites, in fractional coordinates, are Y at (0.0000, 0.0000, 0.0000), Si at (0.0000, 0.0000, 0.5000) and Tc at (0.0000, 0.0000, 0.2338).

A plane-wave DFT calculation with PBEsol was carried out for crystalline TaAu5 at its relaxed geometry.

As for the formation energy: -61 meV/atom. For the volume, the calculation gives 16.96 Å³ per atom.

The structure belongs to space group P4/mmm (No. 123); the cell edges are 2.891, 2.891 and 12.178 Å and the angles 90.00°, 90.00° and 90.00°. The distinct sites, in fractional coordinates, are Ta at (0.000, 0.000, 0.000), Au at (0.000, 0.000, 0.333), Au at (0.500, 0.500, 0.162) and Au at (0.500, 0.500, 0.500).

A plane-wave DFT calculation with PBEsol was carried out for crystalline Zn4CuAs at its relaxed geometry.

As for the formation energy: 197 meV/atom. For the volume, the calculation gives 14.81 Å³ per atom.

The structure belongs to space group F-43m (No. 216); the cell edges are 7.084, 7.084 and 7.084 Å and the angles 90.00°, 90.00° and 90.00°. The distinct sites, in fractional coordinates, are Zn at (0.125, 0.125, 0.125), Cu at (0.250, 0.250, 0.750) and As at (0.000, 0.000, 0.500).

A plane-wave DFT calculation with PBEsol was carried out for crystalline ZnCdRe2 at its relaxed geometry.

As for the formation energy: 472 meV/atom. For the volume, the calculation gives 15.29 Å³ per atom. For the energy above the lowest structure with this stoichiometry, the calculation gives 0.0000 eV/atom.

The structure belongs to space group R-3m (No. 166, hexagonal axes); the cell edges are 2.7637, 2.7637 and 27.7305 Å and the angles 90.00°, 90.00° and 120.00°. The distinct sites, in fractional coordinates, are Zn at (0.0000, 0.0000, 0.0000), Cd at (0.0000, 0.0000, 0.5000) and Re at (0.0000, 0.0000, 0.2547).

A plane-wave DFT calculation with PBEsol was carried out for crystalline Dy2Al2Fe15 at its relaxed geometry.

As for the formation energy: -77 meV/atom. For the volume, the calculation gives 12.53 Å³ per atom.

The structure belongs to space group P6_3/mmc (No. 194); the cell edges are 8.1683, 8.1683 and 8.2384 Å and the angles 90.00°, 90.00° and 120.00°. The distinct sites, in fractional coordinates, are Dy at (0.0000, 0.0000, 0.2500), Dy at (0.3333, 0.6667, 0.2500), Al at (0.3333, 0.6667, 0.6004), Fe at (0.0000, 0.5000, 0.0000), Fe at (0.0362, 0.3667, 0.7500) and Fe at (0.1651, 0.3303, 0.0116).

A plane-wave DFT calculation with PBEsol was carried out for crystalline LaY at its relaxed geometry.

As for the formation energy: 1 meV/atom. For the volume, the calculation gives 32.00 Å³ per atom. For the energy above the lowest structure with this stoichiometry, the calculation gives 0.0000 eV/atom.

The structure belongs to space group R-3m (No. 166, hexagonal axes); the cell edges are 3.5909, 3.5909 and 17.1955 Å and the angles 90.00°, 90.00° and 120.00°. The distinct sites, in fractional coordinates, are La at (0.0000, 0.0000, 0.0000) and Y at (0.0000, 0.0000, 0.5000).

A plane-wave DFT calculation with PBEsol was carried out for crystalline Mo2OsPt at its relaxed geometry.

As for the formation energy: -166 meV/atom. For the volume, the calculation gives 14.69 Å³ per atom. For the energy above the lowest structure with this stoichiometry, the calculation gives 0.0154 eV/atom.

The structure belongs to space group Pmm2 (No. 25); the cell edges are 2.752, 4.434 and 4.818 Å and the angles 90.00°, 90.00° and 90.00°. The distinct sites, in fractional coordinates, are Mo at (0.000, 0.000, 0.000), Mo at (0.000, 0.500, 0.338), Os at (0.500, 0.500, 0.843) and Pt at (0.500, 0.000, 0.497).

A plane-wave DFT calculation with PBEsol was carried out for crystalline MnW2Se at its relaxed geometry.

For the uncorrected formation energy, the calculation gives 446.1 meV per atom. For the volume, the calculation gives 14.33 Å³ per atom.

The structure belongs to space group Immm (No. 71); the cell edges are 3.061, 4.339 and 8.634 Å and the angles 90.00°, 90.00° and 90.00°. The distinct sites, in fractional coordinates, are Mn at (0.000, 0.000, 0.000), W at (0.000, 0.500, 0.246) and Se at (0.000, 0.000, 0.500).

A plane-wave DFT calculation with PBEsol was carried out for crystalline Cu2H3ClO3 at its relaxed geometry.

For the volume, the calculation gives 10.22 Å³ per atom. For the energy above the lowest structure with this stoichiometry, the calculation gives 0.0015 eV/atom.

The structure belongs to space group Pnma (No. 62); the cell edges are 5.913, 6.823 and 9.115 Å and the angles 90.00°, 90.00° and 90.00°. The distinct sites, in fractional coordinates, are Cu at (0.000, 0.000, 0.000), Cu at (0.174, 0.250, 0.255), H at (0.091, 0.052, 0.731), H at (0.198, 0.750, 0.455), Cl at (0.135, 0.250, 0.575), O at (0.078, 0.565, 0.797) and O at (0.149, 0.250, 0.001).

A plane-wave DFT calculation with PBEsol was carried out for crystalline RbFe2Se at its relaxed geometry.

For the uncorrected formation energy, the calculation gives 1100.6 meV per atom. For the volume, the calculation gives 16.79 Å³ per atom.

The structure belongs to space group Fm-3m (No. 225); the cell edges are 6.453, 6.453 and 6.453 Å and the angles 90.00°, 90.00° and 90.00°. The distinct sites, in fractional coordinates, are Rb at (0.000, 0.000, 0.000), Fe at (0.250, 0.250, 0.250) and Se at (0.000, 0.000, 0.500).

A plane-wave DFT calculation with PBEsol was carried out for crystalline CaZr2P at its relaxed geometry.

As for the formation energy: -452 meV/atom. For the volume, the calculation gives 22.43 Å³ per atom.

The structure belongs to space group Immm (No. 71); the cell edges are 3.393, 5.158 and 10.249 Å and the angles 90.00°, 90.00° and 90.00°. The distinct sites, in fractional coordinates, are Ca at (0.000, 0.000, 0.000), Zr at (0.000, 0.500, 0.187) and P at (0.000, 0.000, 0.500).

A plane-wave DFT calculation with PBEsol was carried out for crystalline Y5Si3 at its relaxed geometry.

For the uncorrected formation energy, the calculation gives -702.7 meV per atom. For the volume, the calculation gives 23.01 Å³ per atom. For the energy above the lowest structure with this stoichiometry, the calculation gives 0.0622 eV/atom.

The structure belongs to space group I4/mcm (No. 140); the cell edges are 11.312, 11.312 and 5.754 Å and the angles 90.00°, 90.00° and 90.00°. The distinct sites, in fractional coordinates, are Y at (0.000, 0.500, 0.250), Y at (0.084, 0.213, 0.000), Si at (0.000, 0.000, 0.250) and Si at (0.159, 0.341, 0.500).

A plane-wave DFT calculation with PBEsol was carried out for crystalline CaMoIr2 at its relaxed geometry.

As for the formation energy: 109 meV/atom. For the volume, the calculation gives 16.21 Å³ per atom. For the energy above the lowest structure with this stoichiometry, the calculation gives 0.0000 eV/atom.

The structure belongs to space group P4/mmm (No. 123); the cell edges are 4.774, 4.774 and 2.845 Å and the angles 90.00°, 90.00° and 90.00°. The distinct sites, in fractional coordinates, are Ca at (0.000, 0.000, 0.000), Mo at (0.500, 0.500, 0.000) and Ir at (0.000, 0.500, 0.500).

A plane-wave DFT calculation with PBEsol was carried out for crystalline LiZnCu2 at its relaxed geometry.

As for the formation energy: -84 meV/atom. For the volume, the calculation gives 12.12 Å³ per atom.

The structure belongs to space group Cm (No. 8); the cell edges are 8.658, 2.544 and 4.462 Å and the angles 90.00°, 99.31° and 90.00°. The distinct sites, in fractional coordinates, are Li at (0.000, 0.000, 0.000), Zn at (0.240, 0.000, 0.731), Cu at (0.256, 0.500, 0.240) and Cu at (0.496, 0.000, 0.491).

A plane-wave DFT calculation with PBEsol was carried out for crystalline YTl3Br at its relaxed geometry.

For the uncorrected formation energy, the calculation gives 390.4 meV per atom. For the volume, the calculation gives 41.93 Å³ per atom.

The structure belongs to space group Pm-3m (No. 221); the cell edges are 5.941, 5.941 and 5.941 Å and the angles 90.00°, 90.00° and 90.00°. The distinct sites, in fractional coordinates, are Y at (0.000, 0.000, 0.000), Tl at (0.000, 0.000, 0.500) and Br at (0.500, 0.500, 0.500).

A plane-wave DFT calculation with PBEsol was carried out for crystalline TlAsIr2 at its relaxed geometry.

As for the formation energy: 684 meV/atom. For the volume, the calculation gives 16.78 Å³ per atom. For the energy above the lowest structure with this stoichiometry, the calculation gives 0.3963 eV/atom.

The structure belongs to space group F-43m (No. 216); the cell edges are 6.451, 6.451 and 6.451 Å and the angles 90.00°, 90.00° and 90.00°. The distinct sites, in fractional coordinates, are Tl at (0.000, 0.000, 0.000), As at (0.250, 0.250, 0.750), Ir at (0.000, 0.000, 0.500) and Ir at (0.250, 0.250, 0.250).

A plane-wave DFT calculation with PBEsol was carried out for crystalline ZrP2Rh at its relaxed geometry.

As for the formation energy: -859 meV/atom. For the volume, the calculation gives 15.42 Å³ per atom. For the energy above the lowest structure with this stoichiometry, the calculation gives 0.0000 eV/atom.

The structure belongs to space group R-3m (No. 166, hexagonal axes); the cell edges are 3.7875, 3.7875 and 14.8923 Å and the angles 90.00°, 90.00° and 120.00°. The distinct sites, in fractional coordinates, are Zr at (0.0000, 0.0000, 0.0000), P at (0.0000, 0.0000, 0.2349) and Rh at (0.0000, 0.0000, 0.5000).

A plane-wave DFT calculation with PBEsol was carried out for crystalline SrCdO2 at its relaxed geometry.

For the uncorrected formation energy, the calculation gives -1866.2 meV per atom. For the volume, the calculation gives 14.94 Å³ per atom.

The structure belongs to space group P4/mmm (No. 123); the cell edges are 3.494, 3.494 and 4.895 Å and the angles 90.00°, 90.00° and 90.00°. The distinct sites, in fractional coordinates, are Sr at (0.000, 0.000, 0.000), Cd at (0.500, 0.500, 0.500), O at (0.000, 0.000, 0.500) and O at (0.500, 0.500, 0.000).